First-principles (meta-GGA SCAN) data for a crystal of YZrSc2 relaxed with PBEsol, as listed in the Alexandria database.

Structure (POSCAR):
```
YZrSc2
1.0
3.254 0.000 0.000
0.000 3.254 0.000
0.000 0.000 9.286
Y Zr Sc
1 1 2
direct
0.000 0.000 0.000
0.500 0.500 0.256
0.000 0.000 0.484
0.500 0.500 0.733
```

Energy, eV per formula unit: -86.6
Density of states at the Fermi level, states/eV per cell: 6.34
E above lowest polymorph, eV per atom: 0.0278
Theoretical density, Mg/m³: 4.6